YTmGa3Si2, optimized geometry, DFT PBE; DFT total energy = -4.9469 eV/atom; space group = Cm (8); crystal system = monoclinic
1.0
5.105 -2.020 0.000
5.105 2.020 0.000
-1.265 0.000 6.467
Y Tm Ga Si
1 1 3 2
Direct
0.000 0.000 0.000
0.762 0.762 0.367
0.078 0.078 0.543
0.379 0.379 0.682
0.685 0.685 0.821
0.287 0.287 0.052
0.475 0.475 0.319

***

ZnGa2Si, optimized geometry, DFT PBE; DFT total energy = -2.9424 eV/atom; space group = F-43m (216); crystal system = cubic
1.0
0.000 3.253 3.253
3.253 0.000 3.253
3.253 3.253 0.000
Zn Ga Si
1 2 1
Direct
0.000 0.000 0.000
0.250 0.250 0.250
0.500 0.500 0.500
0.750 0.750 0.750

***

Q: Which value of DFT total energy does entry 2 give?
A: -2.9424 eV/atom

***

Q: Which value of DFT total energy does entry 2 give?
A: -2.9424 eV/atom

***

Q: Look up the DFT total energy of the second one.
A: -2.9424 eV/atom